Record 1
{"formula": "CaTb8Sm2", "functional": "GGA-PBE", "state": "relaxed", "cell": [[-2.780, 4.178, 7.969], [2.780, -4.178, 7.969], [2.780, 4.178, -7.969]], "species": ["Ca", "Tb", "Tb", "Tb", "Tb", "Tb", "Tb", "Tb", "Tb", "Sm", "Sm"], "frac_coords": [[0.000, 0.000, 0.000], [0.154, 0.858, 0.297], [0.161, 0.661, 0.500], [0.305, 0.500, 0.805], [0.439, 0.142, 0.297], [0.561, 0.858, 0.703], [0.695, 0.500, 0.195], [0.839, 0.339, 0.500], [0.846, 0.142, 0.703], [0.298, 0.298, 0.000], [0.702, 0.702, 0.000]], "spacegroup": "Immm (71)"}

***

Record 2
{"formula": "CaTb7Sm3", "functional": "GGA-PBE", "state": "relaxed", "cell": [[5.870, -5.039, 0.000], [5.870, 5.039, 0.000], [-0.564, 0.000, 6.449]], "species": ["Ca", "Tb", "Tb", "Tb", "Tb", "Tb", "Tb", "Tb", "Sm", "Sm", "Sm"], "frac_coords": [[0.000, 0.000, 0.000], [0.000, 0.000, 0.500], [0.074, 0.415, 0.756], [0.265, 0.265, 0.292], [0.415, 0.074, 0.756], [0.585, 0.926, 0.244], [0.735, 0.735, 0.708], [0.926, 0.585, 0.244], [0.328, 0.672, 0.500], [0.500, 0.500, 0.000], [0.672, 0.328, 0.500]], "de_polymorph_mev_per_atom": 17, "spacegroup": "C2/m (12)"}

***

Formation energy from the elements list, top to bottom, in eV per atom: 0.1630, 0.2368
M_tot list, top to bottom, in μB per formula unit: 0.0, 0.0
Ρ list, top to bottom, in Mg/m³: 7.2, 7.0